First-principles (GGA-PBE) data for PmEr6Sc6 after structural relaxation, as listed in Alexandria via LeMat-Bulk.

```
data_PmEr6Sc6
_symmetry_space_group_name_H-M 'P 1'
_symmetry_Int_Tables_number 1
_cell_length_a 6.678
_cell_length_b 6.293
_cell_length_c 10.615
_cell_angle_alpha 90.00
_cell_angle_beta 90.00
_cell_angle_gamma 122.08
loop_
_symmetry_equiv_pos_as_xyz
'x,y,z'
loop_
_atom_site_label
_atom_site_fract_x
_atom_site_fract_y
_atom_site_fract_z
Pm1 0.000 0.000 0.000
Sc1 0.000 0.500 0.772
Er1 0.283 0.567 0.500
Er2 0.000 0.000 0.337
Sc2 0.000 0.500 0.228
Sc3 0.500 0.000 0.712
Sc4 0.500 0.500 0.228
Er3 0.649 0.296 0.000
Er4 0.717 0.433 0.500
Sc5 0.500 0.500 0.772
Sc6 0.500 0.000 0.288
Er5 0.351 0.704 0.000
Er6 0.000 0.000 0.663
```

Results
DFT total energy = -5.192 eV per atom
Space-group type = No. 65
V = 29.1 Å³/atom